# PBE-GGA TmZr, relaxed
# Total DFT energy (no corrections) ... -6.44 eV per atom
data_TmZr
_cell_length_a 5.8087
_cell_length_b 3.3553
_cell_length_c 10.9250
_cell_angle_alpha 90.00
_cell_angle_beta 100.14
_cell_angle_gamma 90.00
_symmetry_space_group_name_H-M 'C 1 2/m 1'
_symmetry_Int_Tables_number 12
_symmetry_space_group_name_Hall '-C 2y'
loop_
_atom_site_label
_atom_site_fract_x
_atom_site_fract_y
_atom_site_fract_z
Tm1 0.1214 0.0000 0.3629
Zr1 0.2066 0.5000 0.1162


# PBE-GGA Tm4Zr, relaxed
# Total DFT energy (no corrections) ... -4.77 eV per atom
data_Tm4Zr
_cell_length_a 4.2750
_cell_length_b 4.2750
_cell_length_c 16.5245
_cell_angle_alpha 90.00
_cell_angle_beta 90.00
_cell_angle_gamma 90.00
_symmetry_space_group_name_H-M 'I 4/m m m'
_symmetry_Int_Tables_number 139
_symmetry_space_group_name_Hall '-I 4 2'
loop_
_atom_site_label
_atom_site_fract_x
_atom_site_fract_y
_atom_site_fract_z
Tm1 0.0000 0.0000 0.0905
Tm2 0.0000 0.5000 0.2500
Zr1 0.0000 0.0000 0.5000


In order of appearance, ΔH_f (0 K) = 0.07 0.51 eV per atom.
In order of appearance, distance to the lowest polymorph of the same formula = 0.052 0.124 eV/atom.